This record from Alexandria describes crystalline ZnCr2GePb at its relaxed geometry. The functional is PBE-GGA. Values from VASP.

The structure in Quantum ESPRESSO input format:
```
&SYSTEM
  ibrav = 0, nat = 5, ntyp = 4
/
ATOMIC_SPECIES
Pb 207.20 Pb.upf
Cr 52.00 Cr.upf
Ge 72.64 Ge.upf
Zn 65.41 Zn.upf
CELL_PARAMETERS angstrom
4.899 0.000 0.000
0.000 4.711 0.000
0.000 0.000 4.899
ATOMIC_POSITIONS crystal
Pb 0.500 0.500 0.500
Cr 0.000 0.000 0.500
Cr 0.500 0.000 0.000
Ge 0.000 0.500 0.000
Zn 0.000 0.000 0.000
```

## Properties
* E_form: 0.8493 eV/atom
* size of the total moment: 8.43 μB/f.u.
* symmetry: No. 123
* electronic total energy: -0.36161 Ry/atom


This record from Alexandria describes crystalline ZrCrGe2Pb at its relaxed geometry. The functional is PBE-GGA. Values from VASP.

The structure in Quantum ESPRESSO input format:
```
&SYSTEM
  ibrav = 0, nat = 5, ntyp = 4
/
ATOMIC_SPECIES
Pb 207.20 Pb.upf
Cr 52.00 Cr.upf
Ge 72.64 Ge.upf
Zr 91.22 Zr.upf
CELL_PARAMETERS angstrom
-4.093 -2.168 0.727
0.950 -3.057 -3.768
2.102 -2.979 2.947
ATOMIC_POSITIONS crystal
Pb 0.500 0.500 0.500
Cr 0.000 0.000 0.000
Ge 0.000 0.000 0.500
Ge 0.500 0.000 0.000
Zr 0.000 0.500 0.000
```

## Properties
* E_form: 0.2505 eV/atom
* size of the total moment: 0.00 μB/f.u.
* symmetry: No. 123
* electronic total energy: -0.43896 Ry/atom


This record from Alexandria describes crystalline CrGe3Pd at its relaxed geometry. The functional is PBE-GGA. Values from VASP.

The structure in Quantum ESPRESSO input format:
```
&SYSTEM
  ibrav = 0, nat = 5, ntyp = 3
/
ATOMIC_SPECIES
Cr 52.00 Cr.upf
Ge 72.64 Ge.upf
Pd 106.42 Pd.upf
CELL_PARAMETERS angstrom
4.583 0.000 0.000
0.000 4.583 0.000
0.000 0.000 4.583
ATOMIC_POSITIONS crystal
Cr 0.000 0.000 0.000
Ge 0.000 0.500 0.000
Ge 0.000 0.000 0.500
Ge 0.500 0.000 0.000
Pd 0.500 0.500 0.500
```

## Properties
* relative energy among the computed polymorphs: 0 meV/atom
* E_form: 0.3422 eV/atom
* size of the total moment: 0.00 μB/f.u.
* symmetry: No. 221
* electronic total energy: -0.39627 Ry/atom


This record from Alexandria describes crystalline CrGe2Pd2 at its relaxed geometry. The functional is PBE-GGA. Values from VASP.

The structure in Quantum ESPRESSO input format:
```
&SYSTEM
  ibrav = 0, nat = 10, ntyp = 3
/
ATOMIC_SPECIES
Cr 52.00 Cr.upf
Ge 72.64 Ge.upf
Pd 106.42 Pd.upf
CELL_PARAMETERS angstrom
-3.501 -6.085 1.257
5.776 -3.719 -1.917
0.958 0.032 2.824
ATOMIC_POSITIONS crystal
Cr 0.000 0.000 0.000
Cr 0.500 0.500 0.000
Ge 0.343 0.843 0.000
Ge 0.843 0.657 0.000
Ge 0.657 0.157 0.000
Ge 0.157 0.343 0.000
Pd 0.144 0.644 0.500
Pd 0.644 0.856 0.500
Pd 0.856 0.356 0.500
Pd 0.356 0.144 0.500
```

## Properties
* E_form: 0.0359 eV/atom
* size of the total moment: 0.00 μB/f.u.
* symmetry: No. 127
* electronic total energy: -0.42724 Ry/atom


This record from Alexandria describes crystalline Cr2GePd2 at its relaxed geometry. The functional is PBE-GGA. Values from VASP.

The structure in Quantum ESPRESSO input format:
```
&SYSTEM
  ibrav = 0, nat = 10, ntyp = 3
/
ATOMIC_SPECIES
Cr 52.00 Cr.upf
Ge 72.64 Ge.upf
Pd 106.42 Pd.upf
CELL_PARAMETERS angstrom
-2.556 3.706 -5.363
-6.462 -0.682 2.609
0.402 2.762 1.717
ATOMIC_POSITIONS crystal
Cr 0.161 0.661 0.500
Cr 0.661 0.839 0.500
Cr 0.839 0.339 0.500
Cr 0.339 0.161 0.500
Ge 0.000 0.000 0.000
Ge 0.500 0.500 0.000
Pd 0.361 0.861 0.000
Pd 0.861 0.639 0.000
Pd 0.639 0.139 0.000
Pd 0.139 0.361 0.000
```

## Properties
* E_form: 0.2079 eV/atom
* size of the total moment: 6.87 μB/f.u.
* symmetry: No. 127
* electronic total energy: -0.48818 Ry/atom


This record from Alexandria describes crystalline Cr2Ge2Pd at its relaxed geometry. The functional is PBE-GGA. Values from VASP.

The structure in Quantum ESPRESSO input format:
```
&SYSTEM
  ibrav = 0, nat = 10, ntyp = 3
/
ATOMIC_SPECIES
Cr 52.00 Cr.upf
Ge 72.64 Ge.upf
Pd 106.42 Pd.upf
CELL_PARAMETERS angstrom
7.098 0.000 0.000
0.000 7.098 0.000
0.000 0.000 2.828
ATOMIC_POSITIONS crystal
Cr 0.110 0.610 0.500
Cr 0.610 0.890 0.500
Cr 0.890 0.390 0.500
Cr 0.390 0.110 0.500
Ge 0.320 0.820 0.000
Ge 0.820 0.680 0.000
Ge 0.680 0.180 0.000
Ge 0.180 0.320 0.000
Pd 0.000 0.000 0.000
Pd 0.500 0.500 0.000
```

## Properties
* E_form: 0.0328 eV/atom
* size of the total moment: 0.00 μB/f.u.
* symmetry: No. 127
* electronic total energy: -0.49259 Ry/atom


This record from Alexandria describes crystalline CrGePd at its relaxed geometry. The functional is PBE-GGA. Values from VASP.

The structure in Quantum ESPRESSO input format:
```
&SYSTEM
  ibrav = 0, nat = 3, ntyp = 3
/
ATOMIC_SPECIES
Cr 52.00 Cr.upf
Ge 72.64 Ge.upf
Pd 106.42 Pd.upf
CELL_PARAMETERS angstrom
3.275 0.000 0.000
0.000 3.275 0.000
-1.638 -1.638 4.398
ATOMIC_POSITIONS crystal
Cr 0.288 0.288 0.576
Ge 0.956 0.956 0.913
Pd 0.606 0.606 0.212
```

## Properties
* E_form: 0.0071 eV/atom
* size of the total moment: 4.20 μB/f.u.
* symmetry: No. 107
* electronic total energy: -0.47559 Ry/atom


This record from Alexandria describes crystalline CrGePd at its relaxed geometry. The functional is PBE-GGA. Values from VASP.

The structure in Quantum ESPRESSO input format:
```
&SYSTEM
  ibrav = 0, nat = 6, ntyp = 3
/
ATOMIC_SPECIES
Cr 52.00 Cr.upf
Ge 72.64 Ge.upf
Pd 106.42 Pd.upf
CELL_PARAMETERS angstrom
2.990 0.000 0.000
0.000 2.990 0.000
-1.495 -1.495 9.812
ATOMIC_POSITIONS crystal
Cr 0.281 0.281 0.563
Cr 0.719 0.719 0.437
Ge 0.143 0.143 0.286
Ge 0.857 0.857 0.714
Pd 0.568 0.568 0.136
Pd 0.432 0.432 0.864
```

## Properties
* E_form: -0.0919 eV/atom
* size of the total moment: 0.00 μB/f.u.
* symmetry: No. 139
* electronic total energy: -0.48287 Ry/atom